## EuPa2P (PBE)

Data for a geometry-optimized EuPa2P structure.

The structure in CIF format:
```
data_EuPa2P
_symmetry_space_group_name_H-M 'R -3 m'
_symmetry_Int_Tables_number 166
_symmetry_space_group_name_Hall '-R 3 2"'
_cell_length_a 3.4964
_cell_length_b 3.4964
_cell_length_c 30.9580
_cell_angle_alpha 90.00
_cell_angle_beta 90.00
_cell_angle_gamma 120.00
loop_
_atom_site_label
_atom_site_fract_x
_atom_site_fract_y
_atom_site_fract_z
Eu1 0.0000 0.0000 0.0000
Pa1 0.0000 0.0000 0.1075
P1 0.0000 0.0000 0.5000
```

Results
Raw total energy = -8.818 eV/atom

=====

## SrCaIn2Cl6 (PBE)

Data for a geometry-optimized SrCaIn2Cl6 structure.

The structure in CIF format:
```
data_SrCaIn2Cl6
_symmetry_space_group_name_H-M 'R 3'
_symmetry_Int_Tables_number 146
_symmetry_space_group_name_Hall 'R 3'
_cell_length_a 7.6839
_cell_length_b 7.6839
_cell_length_c 19.3122
_cell_angle_alpha 90.00
_cell_angle_beta 90.00
_cell_angle_gamma 120.00
loop_
_atom_site_label
_atom_site_fract_x
_atom_site_fract_y
_atom_site_fract_z
Sr1 0.0000 0.0000 0.0000
Ca1 0.0000 0.0000 0.4984
In1 0.0000 0.0000 0.2850
In2 0.0000 0.0000 0.7860
Cl1 0.0844 0.3420 0.5702
Cl2 0.0879 0.7267 0.0739
```

Results
Raw formation energy = -1.780 eV per atom

=====

## Sc2Ti2Sb2N (PBE)

Data for a geometry-optimized Sc2Ti2Sb2N structure.

The structure in CIF format:
```
data_Sc2Ti2Sb2N
_symmetry_space_group_name_H-M 'I 4/m m m'
_symmetry_Int_Tables_number 139
_symmetry_space_group_name_Hall '-I 4 2'
_cell_length_a 4.174
_cell_length_b 4.174
_cell_length_c 14.792
_cell_angle_alpha 90.00
_cell_angle_beta 90.00
_cell_angle_gamma 90.00
loop_
_atom_site_label
_atom_site_fract_x
_atom_site_fract_y
_atom_site_fract_z
Sc1 0.000 0.000 0.157
Ti1 0.000 0.500 0.000
Sb1 0.000 0.000 0.358
N1 0.000 0.000 0.000
```

Results
Raw formation energy = -1.053 eV per atom

=====

## TaHgOs2 (PBE)

Data for a geometry-optimized TaHgOs2 structure.

The structure in CIF format:
```
data_TaHgOs2
_symmetry_space_group_name_H-M 'I m m m'
_symmetry_Int_Tables_number 71
_symmetry_space_group_name_Hall '-I 2 2'
_cell_length_a 3.012
_cell_length_b 4.810
_cell_length_c 9.433
_cell_angle_alpha 90.00
_cell_angle_beta 90.00
_cell_angle_gamma 90.00
loop_
_atom_site_label
_atom_site_fract_x
_atom_site_fract_y
_atom_site_fract_z
Ta1 0.000 0.000 0.000
Hg1 0.000 0.000 0.500
Os1 0.000 0.500 0.274
```

Results
Raw total energy = -8.186 eV/atom

=====

## Rb2AsP (PBE)

Data for a geometry-optimized Rb2AsP structure.

The structure in CIF format:
```
data_Rb2AsP
_symmetry_space_group_name_H-M 'I m m 2'
_symmetry_Int_Tables_number 44
_symmetry_space_group_name_Hall 'I 2 -2'
_cell_length_a 4.289
_cell_length_b 10.022
_cell_length_c 6.573
_cell_angle_alpha 90.00
_cell_angle_beta 90.00
_cell_angle_gamma 90.00
loop_
_atom_site_label
_atom_site_fract_x
_atom_site_fract_y
_atom_site_fract_z
Rb1 0.000 0.187 0.000
As1 0.000 0.000 0.484
P1 0.000 0.500 0.808
```

Results
Polymorph energy (0 for the lowest one) = 0.0 meV/atom

=====

## ZnCu4Rh (PBE)

Data for a geometry-optimized ZnCu4Rh structure.

The structure in CIF format:
```
data_ZnCu4Rh
_symmetry_space_group_name_H-M 'F -4 3 m'
_symmetry_Int_Tables_number 216
_symmetry_space_group_name_Hall 'F -4 2 3'
_cell_length_a 6.768
_cell_length_b 6.768
_cell_length_c 6.768
_cell_angle_alpha 90.00
_cell_angle_beta 90.00
_cell_angle_gamma 90.00
loop_
_atom_site_label
_atom_site_fract_x
_atom_site_fract_y
_atom_site_fract_z
Zn1 0.000 0.000 0.000
Cu1 0.125 0.125 0.375
Rh1 0.250 0.250 0.750
```

Results
Polymorph energy (0 for the lowest one) = 108.3 meV/atom